Entry a
# TaAgC2, optimized geometry, DFT GGA-PBE
# Fermi-level density of states, states/eV/cell: 3.736
data_TaAgC2
_cell_length_a 4.966
_cell_length_b 4.966
_cell_length_c 5.991
_cell_angle_alpha 65.51
_cell_angle_beta 65.51
_cell_angle_gamma 90.00
_space_group_name_H-M_alt 'P 1'
_space_group_IT_number 1
loop_
_space_group_symop_operation_xyz
'x,y,z'
loop_
_atom_site_label
_atom_site_type_symbol
_atom_site_fract_x
_atom_site_fract_y
_atom_site_fract_z
Ag1 Ag 0.500 0.500 0.000
Ag2 Ag 0.250 0.750 0.500
C1 C 0.656 0.125 0.250
C2 C 0.094 0.625 0.250
C3 C 0.875 0.906 0.750
C4 C 0.375 0.344 0.750
Ta1 Ta 0.000 0.000 0.000
Ta2 Ta 0.750 0.250 0.500

=====

Entry b
# TaAgC2, optimized geometry, DFT GGA-PBE
# Fermi-level density of states, states/eV/cell: 1.629
data_TaAgC2
_cell_length_a 4.000
_cell_length_b 4.000
_cell_length_c 4.000
_cell_angle_alpha 60.00
_cell_angle_beta 60.00
_cell_angle_gamma 60.00
_space_group_name_H-M_alt 'P 1'
_space_group_IT_number 1
loop_
_space_group_symop_operation_xyz
'x,y,z'
loop_
_atom_site_label
_atom_site_type_symbol
_atom_site_fract_x
_atom_site_fract_y
_atom_site_fract_z
Ta1 Ta 0.500 0.500 0.500
Ag1 Ag 0.000 0.000 0.000
C1 C 0.750 0.750 0.750
C2 C 0.250 0.250 0.250

=====

Which structure loses on stability? entry b does.

=====

Entry a
# Tb2AgC, optimized geometry, DFT GGA-PBE
# Fermi-level density of states, states/eV/cell: 5.943
data_Tb2AgC
_cell_length_a 3.673
_cell_length_b 6.316
_cell_length_c 7.773
_cell_angle_alpha 106.45
_cell_angle_beta 90.00
_cell_angle_gamma 90.00
_space_group_name_H-M_alt 'P 1'
_space_group_IT_number 1
loop_
_space_group_symop_operation_xyz
'x,y,z'
loop_
_atom_site_label
_atom_site_type_symbol
_atom_site_fract_x
_atom_site_fract_y
_atom_site_fract_z
Ag1 Ag 0.750 0.706 0.498
Ag2 Ag 0.250 0.294 0.502
C1 C 0.250 0.756 0.004
C2 C 0.750 0.244 0.996
Tb1 Tb 0.750 0.982 0.186
Tb2 Tb 0.250 0.477 0.175
Tb3 Tb 0.750 0.523 0.825
Tb4 Tb 0.250 0.018 0.814

=====

Entry b
# Tb2AgC, optimized geometry, DFT GGA-PBE
# Fermi-level density of states, states/eV/cell: 2.808
data_Tb2AgC
_cell_length_a 3.662
_cell_length_b 3.662
_cell_length_c 7.656
_cell_angle_alpha 76.18
_cell_angle_beta 76.18
_cell_angle_gamma 60.02
_space_group_name_H-M_alt 'P 1'
_space_group_IT_number 1
loop_
_space_group_symop_operation_xyz
'x,y,z'
loop_
_atom_site_label
_atom_site_type_symbol
_atom_site_fract_x
_atom_site_fract_y
_atom_site_fract_z
Tb1 Tb 0.273 0.273 0.182
Tb2 Tb 0.061 0.061 0.815
Ag1 Ag 0.500 0.500 0.500
C1 C 0.666 0.666 0.003

=====

Which structure loses on stability? entry a does.

=====

Entry a
# Tc3AgC, optimized geometry, DFT GGA-PBE
# Fermi-level density of states, states/eV/cell: 3.090
data_Tc3AgC
_cell_length_a 5.031
_cell_length_b 5.031
_cell_length_c 5.031
_cell_angle_alpha 90.00
_cell_angle_beta 90.00
_cell_angle_gamma 90.00
_space_group_name_H-M_alt 'P 1'
_space_group_IT_number 1
loop_
_space_group_symop_operation_xyz
'x,y,z'
loop_
_atom_site_label
_atom_site_type_symbol
_atom_site_fract_x
_atom_site_fract_y
_atom_site_fract_z
Tc1 Tc 0.000 0.500 0.000
Tc2 Tc 0.500 0.000 0.000
Tc3 Tc 0.000 0.000 0.500
C1 C 0.500 0.500 0.500
Ag1 Ag 0.000 0.000 0.000

=====

Entry b
# Tc3AgC, optimized geometry, DFT GGA-PBE
# Fermi-level density of states, states/eV/cell: 3.500
data_Tc3AgC
_cell_length_a 4.099
_cell_length_b 4.099
_cell_length_c 4.099
_cell_angle_alpha 90.00
_cell_angle_beta 90.00
_cell_angle_gamma 90.00
_space_group_name_H-M_alt 'P 1'
_space_group_IT_number 1
loop_
_space_group_symop_operation_xyz
'x,y,z'
loop_
_atom_site_label
_atom_site_type_symbol
_atom_site_fract_x
_atom_site_fract_y
_atom_site_fract_z
Tc1 Tc 0.000 0.500 0.000
Tc2 Tc 0.000 0.000 0.500
Tc3 Tc 0.500 0.000 0.000
C1 C 0.000 0.000 0.000
Ag1 Ag 0.500 0.500 0.500

=====

Which structure loses on stability? entry a does.

=====

Entry a
# TcAg3C, optimized geometry, DFT GGA-PBE
# Fermi-level density of states, states/eV/cell: 5.438
data_TcAg3C
_cell_length_a 5.209
_cell_length_b 5.209
_cell_length_c 5.209
_cell_angle_alpha 90.00
_cell_angle_beta 90.00
_cell_angle_gamma 90.00
_space_group_name_H-M_alt 'P 1'
_space_group_IT_number 1
loop_
_space_group_symop_operation_xyz
'x,y,z'
loop_
_atom_site_label
_atom_site_type_symbol
_atom_site_fract_x
_atom_site_fract_y
_atom_site_fract_z
Ag1 Ag 0.000 0.500 0.000
Ag2 Ag 0.000 0.000 0.500
Ag3 Ag 0.500 0.000 0.000
Tc1 Tc 0.000 0.000 0.000
C1 C 0.500 0.500 0.500

=====

Entry b
# TcAg3C, optimized geometry, DFT GGA-PBE
# Fermi-level density of states, states/eV/cell: 4.536
data_TcAg3C
_cell_length_a 4.323
_cell_length_b 4.323
_cell_length_c 4.323
_cell_angle_alpha 90.00
_cell_angle_beta 90.00
_cell_angle_gamma 90.00
_space_group_name_H-M_alt 'P 1'
_space_group_IT_number 1
loop_
_space_group_symop_operation_xyz
'x,y,z'
loop_
_atom_site_label
_atom_site_type_symbol
_atom_site_fract_x
_atom_site_fract_y
_atom_site_fract_z
Ag1 Ag 0.000 0.500 0.000
Ag2 Ag 0.500 0.000 0.000
Ag3 Ag 0.000 0.000 0.500
C1 C 0.000 0.000 0.000
Tc1 Tc 0.500 0.500 0.500

=====

Which structure loses on stability? entry a does.

=====

Entry a
# AgTe3C, optimized geometry, DFT GGA-PBE
# Fermi-level density of states, states/eV/cell: 3.468
data_AgTe3C
_cell_length_a 4.829
_cell_length_b 4.829
_cell_length_c 4.829
_cell_angle_alpha 90.00
_cell_angle_beta 90.00
_cell_angle_gamma 90.00
_space_group_name_H-M_alt 'P 1'
_space_group_IT_number 1
loop_
_space_group_symop_operation_xyz
'x,y,z'
loop_
_atom_site_label
_atom_site_type_symbol
_atom_site_fract_x
_atom_site_fract_y
_atom_site_fract_z
Ag1 Ag 0.500 0.500 0.500
Te1 Te 0.000 0.500 0.000
Te2 Te 0.500 0.000 0.000
Te3 Te 0.000 0.000 0.500
C1 C 0.000 0.000 0.000

=====

Entry b
# AgTe3C, optimized geometry, DFT GGA-PBE
# Fermi-level density of states, states/eV/cell: 8.279
data_AgTe3C
_cell_length_a 5.422
_cell_length_b 5.422
_cell_length_c 5.422
_cell_angle_alpha 90.00
_cell_angle_beta 90.00
_cell_angle_gamma 90.00
_space_group_name_H-M_alt 'P 1'
_space_group_IT_number 1
loop_
_space_group_symop_operation_xyz
'x,y,z'
loop_
_atom_site_label
_atom_site_type_symbol
_atom_site_fract_x
_atom_site_fract_y
_atom_site_fract_z
Ag1 Ag 0.000 0.000 0.000
Te1 Te 0.000 0.500 0.000
Te2 Te 0.500 0.000 0.000
Te3 Te 0.000 0.000 0.500
C1 C 0.500 0.500 0.500

=====

Which structure loses on stability? entry b does.

=====

Entry a
# Th2AgC, optimized geometry, DFT GGA-PBE
# Fermi-level density of states, states/eV/cell: 7.083
data_Th2AgC
_cell_length_a 3.731
_cell_length_b 6.413
_cell_length_c 8.220
_cell_angle_alpha 106.25
_cell_angle_beta 90.00
_cell_angle_gamma 90.00
_space_group_name_H-M_alt 'P 1'
_space_group_IT_number 1
loop_
_space_group_symop_operation_xyz
'x,y,z'
loop_
_atom_site_label
_atom_site_type_symbol
_atom_site_fract_x
_atom_site_fract_y
_atom_site_fract_z
Th1 Th 0.250 0.012 0.807
Th2 Th 0.750 0.988 0.193
Th3 Th 0.250 0.478 0.173
Th4 Th 0.750 0.522 0.827
C1 C 0.750 0.234 0.993
C2 C 0.250 0.766 0.007
Ag1 Ag 0.750 0.690 0.495
Ag2 Ag 0.250 0.310 0.505

=====

Entry b
# Th2AgC, optimized geometry, DFT GGA-PBE
# Fermi-level density of states, states/eV/cell: 3.977
data_Th2AgC
_cell_length_a 3.705
_cell_length_b 3.722
_cell_length_c 8.194
_cell_angle_alpha 90.09
_cell_angle_beta 103.10
_cell_angle_gamma 120.09
_space_group_name_H-M_alt 'P 1'
_space_group_IT_number 1
loop_
_space_group_symop_operation_xyz
'x,y,z'
loop_
_atom_site_label
_atom_site_type_symbol
_atom_site_fract_x
_atom_site_fract_y
_atom_site_fract_z
Ag1 Ag 0.000 0.500 0.500
Th1 Th 0.545 0.272 0.817
Th2 Th 0.455 0.728 0.183
C1 C 0.000 0.000 0.000

=====

Entry c
# Th2AgC, optimized geometry, DFT GGA-PBE
# Fermi-level density of states, states/eV/cell: 3.298
data_Th2AgC
_cell_length_a 3.680
_cell_length_b 3.680
_cell_length_c 8.247
_cell_angle_alpha 77.11
_cell_angle_beta 77.11
_cell_angle_gamma 60.00
_space_group_name_H-M_alt 'P 1'
_space_group_IT_number 1
loop_
_space_group_symop_operation_xyz
'x,y,z'
loop_
_atom_site_label
_atom_site_type_symbol
_atom_site_fract_x
_atom_site_fract_y
_atom_site_fract_z
Th1 Th 0.061 0.061 0.817
Th2 Th 0.271 0.271 0.186
C1 C 0.667 0.667 0.998
Ag1 Ag 0.501 0.501 0.498

=====

Which structure loses on stability? entry b does.

=====

Entry a
# TiAg3C, optimized geometry, DFT GGA-PBE
# Fermi-level density of states, states/eV/cell: 4.055
data_TiAg3C
_cell_length_a 5.085
_cell_length_b 5.085
_cell_length_c 5.085
_cell_angle_alpha 90.00
_cell_angle_beta 90.00
_cell_angle_gamma 90.00
_space_group_name_H-M_alt 'P 1'
_space_group_IT_number 1
loop_
_space_group_symop_operation_xyz
'x,y,z'
loop_
_atom_site_label
_atom_site_type_symbol
_atom_site_fract_x
_atom_site_fract_y
_atom_site_fract_z
Ag1 Ag 0.000 0.500 0.000
Ag2 Ag 0.500 0.000 0.000
Ag3 Ag 0.000 0.000 0.500
Ti1 Ti 0.000 0.000 0.000
C1 C 0.500 0.500 0.500

=====

Entry b
# TiAg3C, optimized geometry, DFT GGA-PBE
# Fermi-level density of states, states/eV/cell: 4.708
data_TiAg3C
_cell_length_a 4.345
_cell_length_b 4.345
_cell_length_c 4.345
_cell_angle_alpha 90.00
_cell_angle_beta 90.00
_cell_angle_gamma 90.00
_space_group_name_H-M_alt 'P 1'
_space_group_IT_number 1
loop_
_space_group_symop_operation_xyz
'x,y,z'
loop_
_atom_site_label
_atom_site_type_symbol
_atom_site_fract_x
_atom_site_fract_y
_atom_site_fract_z
Ag1 Ag 0.000 0.000 0.500
Ag2 Ag 0.500 0.000 0.000
Ag3 Ag 0.000 0.500 0.000
C1 C 0.000 0.000 0.000
Ti1 Ti 0.500 0.500 0.500

=====

Which structure loses on stability? entry a does.

=====

Entry a
# TlAgC2, optimized geometry, DFT GGA-PBE
# Fermi-level density of states, states/eV/cell: 2.469
data_TlAgC2
_cell_length_a 4.316
_cell_length_b 4.316
_cell_length_c 4.316
_cell_angle_alpha 60.00
_cell_angle_beta 60.00
_cell_angle_gamma 60.00
_space_group_name_H-M_alt 'P 1'
_space_group_IT_number 1
loop_
_space_group_symop_operation_xyz
'x,y,z'
loop_
_atom_site_label
_atom_site_type_symbol
_atom_site_fract_x
_atom_site_fract_y
_atom_site_fract_z
Tl1 Tl 0.500 0.500 0.500
C1 C 0.250 0.250 0.250
C2 C 0.750 0.750 0.750
Ag1 Ag 0.000 0.000 0.000

=====

Entry b
# TlAgC2, optimized geometry, DFT GGA-PBE
# Fermi-level density of states, states/eV/cell: 4.597
data_TlAgC2
_cell_length_a 5.083
_cell_length_b 5.083
_cell_length_c 6.414
_cell_angle_alpha 66.66
_cell_angle_beta 66.66
_cell_angle_gamma 90.00
_space_group_name_H-M_alt 'P 1'
_space_group_IT_number 1
loop_
_space_group_symop_operation_xyz
'x,y,z'
loop_
_atom_site_label
_atom_site_type_symbol
_atom_site_fract_x
_atom_site_fract_y
_atom_site_fract_z
Ag1 Ag 0.500 0.500 0.000
Ag2 Ag 0.250 0.750 0.500
C1 C 0.375 0.414 0.750
C2 C 0.164 0.625 0.250
C3 C 0.875 0.836 0.750
C4 C 0.586 0.125 0.250
Tl1 Tl 0.000 0.000 0.000
Tl2 Tl 0.750 0.250 0.500

=====

Which structure loses on stability? entry a does.